Record 1
Here is a relaxed Sc3Al crystal from Alexandria. Energies are from PBEsol.

energy relative to the elements: -262 meV/atom
total DFT energy (no corrections): -25.0 eV/f.u.

a b c (Å): 6.200 6.200 10.064
angles (deg): 90.00 90.00 120.00
Atoms (fractional coordinates):
Sc (0.000, 0.500, 0.000)
Sc (0.000, 0.500, 0.500)
Sc (0.163, 0.326, 0.250)
Sc (0.163, 0.837, 0.250)
Sc (0.326, 0.163, 0.750)
Sc (0.500, 0.000, 0.000)
Sc (0.500, 0.000, 0.500)
Sc (0.500, 0.500, 0.000)
Sc (0.500, 0.500, 0.500)
Sc (0.674, 0.837, 0.250)
Sc (0.837, 0.163, 0.750)
Sc (0.837, 0.674, 0.750)
Al (0.000, 0.000, 0.000)
Al (0.000, 0.000, 0.500)
Al (0.333, 0.667, 0.750)
Al (0.667, 0.333, 0.250)

---

Record 2
Here is a relaxed Sc5Al4 crystal from Alexandria. Energies are from PBEsol.

energy relative to the elements: -379 meV/atom
total DFT energy (no corrections): -52.8 eV/f.u.

a b c (Å): 8.353 8.353 5.904
angles (deg): 90.00 90.00 120.00
Atoms (fractional coordinates):
Sc (0.000, 0.295, 0.250)
Sc (0.000, 0.705, 0.750)
Sc (0.295, 0.000, 0.250)
Sc (0.295, 0.295, 0.750)
Sc (0.333, 0.667, 0.000)
Sc (0.333, 0.667, 0.500)
Sc (0.667, 0.333, 0.000)
Sc (0.667, 0.333, 0.500)
Sc (0.705, 0.000, 0.750)
Sc (0.705, 0.705, 0.250)
Al (0.000, 0.000, 0.000)
Al (0.000, 0.000, 0.500)
Al (0.000, 0.364, 0.750)
Al (0.000, 0.636, 0.250)
Al (0.364, 0.000, 0.750)
Al (0.364, 0.364, 0.250)
Al (0.636, 0.000, 0.250)
Al (0.636, 0.636, 0.750)

---

Record 3
Here is a relaxed Sc2Al crystal from Alexandria. Energies are from PBEsol.

energy relative to the elements: -275 meV/atom
total DFT energy (no corrections): -18.1 eV/f.u.

a b c (Å): 9.052 9.052 9.052
angles (deg): 60.00 60.00 60.00
Atoms (fractional coordinates):
Sc (0.000, 0.000, 0.000)
Sc (0.000, 0.000, 0.500)
Sc (0.000, 0.500, 0.000)
Sc (0.185, 0.185, 0.565)
Sc (0.185, 0.565, 0.185)
Sc (0.185, 0.565, 0.565)
Sc (0.435, 0.435, 0.815)
Sc (0.435, 0.815, 0.435)
Sc (0.435, 0.815, 0.815)
Sc (0.500, 0.000, 0.000)
Sc (0.565, 0.185, 0.185)
Sc (0.565, 0.185, 0.565)
Sc (0.565, 0.565, 0.185)
Sc (0.815, 0.435, 0.435)
Sc (0.815, 0.435, 0.815)
Sc (0.815, 0.815, 0.435)
Al (0.140, 0.787, 0.787)
Al (0.213, 0.213, 0.213)
Al (0.213, 0.213, 0.860)
Al (0.213, 0.860, 0.213)
Al (0.787, 0.140, 0.787)
Al (0.787, 0.787, 0.140)
Al (0.787, 0.787, 0.787)
Al (0.860, 0.213, 0.213)

---

Record 4
Here is a relaxed Sc3Al crystal from Alexandria. Energies are from PBEsol.

energy relative to the elements: -241 meV/atom
total DFT energy (no corrections): -24.9 eV/f.u.

a b c (Å): 5.893 5.893 5.893
angles (deg): 145.69 132.03 60.29
Atoms (fractional coordinates):
Sc (0.000, 0.000, 0.000)
Sc (0.276, 0.776, 0.500)
Sc (0.724, 0.224, 0.500)
Al (0.500, 0.500, 0.000)